Computed, not measured: an optimized crystal structure of ZnWSeN2 at the PBE level of DFT.

Volume in Å³/cell: 81.3
VASP energy in hartree per atom: -0.243

Cell: 3.8890 3.8890 5.3747 Å, 90.00 90.00 90.00°
Last column: nearest neighbours and their distance in Å.
Space group P4/mmm (No. 123)
Unique sites:
Zn1 0.0000 0.0000 0.0000 (multiplicity 1)  4 Se 2.75
W1 0.5000 0.5000 0.5000 (multiplicity 1)  4 N 1.94
Se1 0.5000 0.5000 0.0000 (multiplicity 1)  2 W 2.69, 4 Zn 2.75
N1 0.0000 0.5000 0.5000 (multiplicity 2)  2 W 1.94